1.
4
Lattice="5.7291 0.0178 0.0244 -1.9631 5.3823 0.0244 -0.0107 -0.0153 3.1053" Properties=species:S:1:pos:R:3 comment="LaAl2Cd, relaxed, DFT GGA-PBE" ef_mev_per_atom=-49.0 space_group="No. 65" crystal_system=orthorhombic pbc="T T T"
Al 0.0000 0.0000 0.0000
Al 1.8830 2.7001 0.0244
La -0.9869 2.6835 1.5648
Cd 2.8592 0.0013 1.5648


2.
4
Lattice="5.4619 -0.0052 0.0000 0.0251 5.4619 0.0000 -2.7435 -2.7283 3.8551" Properties=species:S:1:pos:R:3 comment="Ba2SbRu, relaxed, DFT GGA-PBE" formation_energy_uncorrected_ev_per_fu=0.6 space_group="No. 119" crystal_system=tetragonal pbc="T T T"
Sb 2.7310 -0.0026 1.9276
Ru 2.7435 2.7283 0.0000
Ba 0.0125 2.7309 1.9276
Ba 0.0000 0.0000 0.0000


3.
10
Lattice="7.0301 0.0000 0.0000 0.0000 7.0301 0.0000 0.0000 0.0000 2.6821" Properties=species:S:1:pos:R:3 comment="Be2IO2, relaxed, DFT GGA-PBE" formation_energy_uncorrected_ev_per_fu=-1.8 space_group="No. 127" crystal_system=tetragonal pbc="T T T"
Be 6.3851 4.1600 0.0000
Be 0.6449 2.8701 0.0000
Be 4.1600 0.6449 0.0000
Be 2.8701 6.3851 0.0000
O 0.7432 4.2583 1.3411
O 6.2869 2.7718 1.3411
O 4.2583 6.2869 1.3411
O 2.7718 0.7432 1.3411
I 3.5150 3.5150 0.0000
I 0.0000 0.0000 0.0000


4.
10
Lattice="7.7948 0.0000 0.0000 0.0000 7.7948 0.0000 0.0000 0.0000 5.6284" Properties=species:S:1:pos:R:3 comment="Sr2Sc2In, relaxed, DFT GGA-PBE" ef_mev_per_atom=101.6 space_group="No. 127" crystal_system=tetragonal pbc="T T T"
Sc 2.7863 6.6837 0.0000
Sc 1.1111 2.7863 0.0000
Sc 6.6837 5.0085 0.0000
Sc 5.0085 1.1111 0.0000
Sr 6.4556 2.5582 2.8142
Sr 1.3392 5.2365 2.8142
Sr 2.5582 1.3392 2.8142
Sr 5.2365 6.4556 2.8142
In 3.8974 3.8974 0.0000
In 0.0000 0.0000 0.0000